Material: Cd16In7Hg6
Method: DFT, GGA-PBE
State: optimized geometry

Computed properties:
E_tot (eV per formula unit): -33.67
Mass density (g cm⁻³): 8.3
DOS at the Fermi energy (states/eV per atom): 0.3066
Energy of formation from the pure elements (eV per atom): 0.067
Space group: Fm-3m
Magnetic moment (μB per formula unit): 0.000

Unit cell a=10.2407 b=10.2407 c=10.2407 alpha=60.00 beta=60.00 gamma=60.00
With the nearest neighbours (Å) after each atom.
Positions (direct):
Cd1 0.0750 0.6417 0.6417  3 In 3.02, 3 Hg 3.12
Cd2 0.1236 0.1236 0.1236  4 In 3.10-3.15, 3 Hg 3.38, 3 Cd 3.42
Cd3 0.1236 0.1236 0.6293  4 In 3.10-3.15, 3 Hg 3.38, 3 Cd 3.42
Cd4 0.1236 0.6293 0.1236  4 In 3.10-3.15, 3 Hg 3.38, 3 Cd 3.42
Cd5 0.3583 0.3583 0.3583  3 In 3.02, 3 Hg 3.12
Cd6 0.3583 0.3583 0.9250  3 In 3.02, 3 Hg 3.12
Cd7 0.3583 0.9250 0.3583  3 In 3.02, 3 Hg 3.12
Cd8 0.3707 0.8764 0.8764  4 In 3.10-3.15, 3 Hg 3.38, 3 Cd 3.42
Cd9 0.6293 0.1236 0.1236  4 In 3.10-3.15, 3 Hg 3.38, 3 Cd 3.42
Cd10 0.6417 0.0750 0.6417  3 In 3.02, 3 Hg 3.12
Cd11 0.6417 0.6417 0.0750  3 In 3.02, 3 Hg 3.12
Cd12 0.6417 0.6417 0.6417  3 In 3.02, 3 Hg 3.12
Cd13 0.8764 0.3707 0.8764  4 In 3.10-3.15, 3 Hg 3.38, 3 Cd 3.42
Cd14 0.8764 0.8764 0.3707  4 In 3.10-3.15, 3 Hg 3.38, 3 Cd 3.42
Cd15 0.8764 0.8764 0.8764  4 In 3.10-3.15, 3 Hg 3.38, 3 Cd 3.42
Cd16 0.9250 0.3583 0.3583  3 In 3.02, 3 Hg 3.12
In1 0.0000 0.0000 0.0000  8 Cd 3.10
In2 0.0000 0.0000 0.5000  8 Cd 3.02-3.15
In3 0.0000 0.5000 0.0000  8 Cd 3.02-3.15
In4 0.0000 0.5000 0.5000  8 Cd 3.02-3.15
In5 0.5000 0.0000 0.0000  8 Cd 3.02-3.15
In6 0.5000 0.0000 0.5000  8 Cd 3.02-3.15
In7 0.5000 0.5000 0.0000  8 Cd 3.02-3.15
Hg1 0.2783 0.2783 0.7217  8 Cd 3.12-3.38
Hg2 0.2783 0.7217 0.2783  8 Cd 3.12-3.38
Hg3 0.2783 0.7217 0.7217  8 Cd 3.12-3.38
Hg4 0.7217 0.2783 0.2783  8 Cd 3.12-3.38
Hg5 0.7217 0.2783 0.7217  8 Cd 3.12-3.38
Hg6 0.7217 0.7217 0.2783  8 Cd 3.12-3.38



Material: Sc2CrHgTe
Method: DFT, GGA-PBE
State: optimized geometry

Computed properties:
E_tot (eV per formula unit): -21.63
Mass density (g cm⁻³): 4.9
E_form (uncorrected) (kJ per mole of atoms): 79.0
DOS at the Fermi energy (states/eV per atom): 1.1021
Space group: P4/mmm
Magnetic moment (μB per formula unit): 5.251

Unit cell a=5.2866 b=5.2866 c=5.6650 alpha=90.00 beta=90.00 gamma=90.00
With the nearest neighbours (Å) after each atom.
Positions (direct):
Sc1 0.0000 0.5000 0.0000  2 Hg 2.64
Sc2 0.5000 0.0000 0.0000  2 Hg 2.64
Cr1 0.0000 0.0000 0.5000  4 Te 3.74, 8 Sc 3.87
Hg1 0.5000 0.5000 0.0000  4 Sc 2.64, 2 Te 2.83
Te1 0.5000 0.5000 0.5000  2 Hg 2.83



Material: Sr2Co2Ge
Method: DFT, GGA-PBE
State: optimized geometry

Computed properties:
E_tot (eV per formula unit): -19.21
Mass density (g cm⁻³): 4.7
DOS at the Fermi energy (states/eV per atom): 1.6747
Energy of formation from the pure elements (eV per atom): 0.597
Space group: P4/mbm
Magnetic moment (μB per formula unit): 3.546

Unit cell a=8.7300 b=8.7300 c=3.4231 alpha=90.00 beta=90.00 gamma=90.00
With the nearest neighbours (Å) after each atom.
Positions (direct):
Sr1 0.1887 0.3114 0.0000  6 Co 3.08-3.26, 2 Ge 3.18, 2 Sr 3.42
Sr2 0.3114 0.8114 0.0000  6 Co 3.08-3.26, 2 Ge 3.18, 2 Sr 3.42
Sr3 0.6886 0.1887 0.0000  6 Co 3.08-3.26, 2 Ge 3.18, 2 Sr 3.42
Sr4 0.8114 0.6886 0.0000  6 Co 3.08-3.26, 2 Ge 3.18, 2 Sr 3.42
Co1 0.0867 0.5867 0.5000  1 Co 2.14
Co2 0.4133 0.0867 0.5000  1 Co 2.14
Co3 0.5867 0.9133 0.5000  1 Co 2.14
Co4 0.9133 0.4133 0.5000  1 Co 2.14
Ge1 0.0000 0.0000 0.0000  4 Sr 3.18, 2 Ge 3.42
Ge2 0.5000 0.5000 0.0000  4 Sr 3.18, 2 Ge 3.42



Material: Tm3AlTl4Se8
Method: DFT, GGA-PBE
State: optimized geometry

Computed properties:
E_tot (eV per formula unit): -73.16
Mass density (g cm⁻³): 7.4
E_form (uncorrected) (kJ per mole of atoms): -112.6
DOS at the Fermi energy (states/eV per atom): 0.0323
Space group: R-3m
Magnetic moment (μB per formula unit): 0.000

Unit cell a=9.0917 b=9.0917 c=9.0917 alpha=53.15 beta=53.15 gamma=53.15
With the nearest neighbours (Å) after each atom.
Positions (direct):
Tm1 0.0000 0.5000 0.5000  6 Se 2.83-2.85
Tm2 0.5000 0.0000 0.5000  6 Se 2.83-2.85
Tm3 0.5000 0.5000 0.0000  6 Se 2.83-2.85
Al1 0.0000 0.0000 0.0000  6 Se 2.67
Tl1 0.0000 0.0000 0.5000  6 Se 3.29-3.30
Tl2 0.0000 0.5000 0.0000  6 Se 3.29-3.30
Tl3 0.5000 0.0000 0.0000  6 Se 3.29-3.30
Tl4 0.5000 0.5000 0.5000  6 Se 3.45
Se1 0.2212 0.2212 0.7506  1 Al 2.67, 2 Tm 2.85
Se2 0.2212 0.7506 0.2212  1 Al 2.67, 2 Tm 2.85
Se3 0.2494 0.7788 0.7788  1 Al 2.67, 2 Tm 2.85
Se4 0.2656 0.2656 0.2656  3 Tm 2.83
Se5 0.7344 0.7344 0.7344  3 Tm 2.83
Se6 0.7506 0.2212 0.2212  1 Al 2.67, 2 Tm 2.85
Se7 0.7788 0.2494 0.7788  1 Al 2.67, 2 Tm 2.85
Se8 0.7788 0.7788 0.2494  1 Al 2.67, 2 Tm 2.85



Material: InCoSiPb2
Method: DFT, GGA-PBE
State: optimized geometry

Computed properties:
E_tot (eV per formula unit): -21.50
Mass density (g cm⁻³): 8.5
E_form (uncorrected) (kJ per mole of atoms): 22.8
DOS at the Fermi energy (states/eV per atom): 0.6828
Space group: P4/mmm
Magnetic moment (μB per formula unit): 0.000

Unit cell a=5.2663 b=5.2663 c=4.3634 alpha=90.00 beta=90.00 gamma=90.00
With the nearest neighbours (Å) after each atom.
Positions (direct):
In1 0.0000 0.0000 0.0000  8 Pb 3.42, 4 Si 3.72
Co1 0.5000 0.5000 0.5000  2 Si 2.18
Si1 0.5000 0.5000 0.0000  2 Co 2.18
Pb1 0.0000 0.5000 0.5000  2 Co 2.63
Pb2 0.5000 0.0000 0.5000  2 Co 2.63



Material: K9Te3H2
Method: DFT, GGA-PBE
State: optimized geometry

Computed properties:
E_tot (eV per formula unit): -35.44
Mass density (g cm⁻³): 2.6
DOS at the Fermi energy (states/eV per atom): 0.0530
Space group: P-3m1
Magnetic moment (μB per formula unit): 1.002

Unit cell a=7.6589 b=7.6589 c=9.3802 alpha=90.00 beta=90.00 gamma=120.00
With the nearest neighbours (Å) after each atom.
Positions (direct):
K1 0.0000 0.5000 0.0000  2 H 2.69
K2 0.1693 0.3387 0.6704  1 H 2.67
K3 0.1693 0.8307 0.6704  1 H 2.67
K4 0.3387 0.1693 0.3296  1 H 2.67
K5 0.5000 0.0000 0.0000  2 H 2.69
K6 0.5000 0.5000 0.0000  2 H 2.69
K7 0.6613 0.8307 0.6704  1 H 2.67
K8 0.8307 0.1693 0.3296  1 H 2.67
K9 0.8307 0.6613 0.3296  1 H 2.67
Te1 0.0000 0.0000 0.0000  12 K 3.82-3.83
Te2 0.3333 0.6667 0.3324  12 K 3.82-3.85
Te3 0.6667 0.3333 0.6676  12 K 3.82-3.85
H1 0.3333 0.6667 0.8364  6 K 2.67-2.69
H2 0.6667 0.3333 0.1636  6 K 2.67-2.69



Material: KAl5
Method: DFT, GGA-PBE
State: optimized geometry

Computed properties:
E_tot (eV per formula unit): -19.16
Mass density (g cm⁻³): 2.2
DOS at the Fermi energy (states/eV per atom): 0.6407
Energy of formation from the pure elements (eV per atom): 0.109
Space group: P6/mmm
Magnetic moment (μB per formula unit): 0.000

Unit cell a=5.9087 b=5.9087 c=4.3128 alpha=90.00 beta=90.00 gamma=120.00
With the nearest neighbours (Å) after each atom.
Positions (direct):
K1 0.0000 0.0000 0.0000  18 Al 3.41-3.66
Al1 0.0000 0.5000 0.5000  8 Al 2.75-2.95
Al2 0.3333 0.6667 0.0000  6 Al 2.75
Al3 0.5000 0.0000 0.5000  8 Al 2.75-2.95
Al4 0.5000 0.5000 0.5000  8 Al 2.75-2.95
Al5 0.6667 0.3333 0.0000  6 Al 2.75



Material: ZnP2Rh
Method: DFT, GGA-PBE
State: optimized geometry

Computed properties:
E_tot (eV per formula unit): -19.47
Mass density (g cm⁻³): 6.5
DOS at the Fermi energy (states/eV per atom): 0.6047
Energy of formation from the pure elements (eV per atom): -0.007
Space group: Pmm2
Magnetic moment (μB per formula unit): 0.000

Unit cell a=2.8989 b=3.9584 c=5.1630 alpha=90.00 beta=90.00 gamma=90.00
With the nearest neighbours (Å) after each atom.
Positions (direct):
Zn1 0.0000 0.0000 0.0000  6 P 2.53-2.63
P1 0.0000 0.0000 0.5094  4 Rh 2.49, 2 Zn 2.53-2.63
P2 0.5000 0.5000 0.1200  1 Rh 2.43, 4 Zn 2.53
Rh1 0.5000 0.5000 0.5900  5 P 2.43-2.49



Material: Tb3Al4Si2
Method: DFT, GGA-PBE
State: optimized geometry

Computed properties:
E_tot (eV per formula unit): -44.69
Mass density (g cm⁻³): 5.7
E_form (uncorrected) (kJ per mole of atoms): -53.4
DOS at the Fermi energy (states/eV per atom): 0.4086
Space group: C2/m
Magnetic moment (μB per formula unit): 0.000

Unit cell a=5.8444 b=5.8444 c=8.3936 alpha=103.06 beta=103.06 gamma=42.51
With the nearest neighbours (Å) after each atom.
Positions (direct):
Tb1 0.0000 0.0000 0.0000  8 Al 3.11-3.20, 4 Si 3.17
Tb2 0.3308 0.3308 0.3383  4 Si 3.12-3.21, 8 Al 3.13-3.29
Tb3 0.6692 0.6692 0.6617  4 Si 3.12-3.21, 8 Al 3.13-3.29
Al1 0.0492 0.0492 0.3806  2 Si 2.44, 1 Al 2.49
Al2 0.2727 0.2727 0.9355  1 Si 2.44, 2 Al 2.48
Al3 0.7273 0.7273 0.0645  1 Si 2.44, 2 Al 2.48
Al4 0.9508 0.9508 0.6194  2 Si 2.44, 1 Al 2.49
Si1 0.3891 0.3891 0.7216  3 Al 2.44
Si2 0.6109 0.6109 0.2784  3 Al 2.44



Material: Dy3TlPb2
Method: DFT, GGA-PBE
State: optimized geometry

Computed properties:
E_tot (eV per formula unit): -25.94
Mass density (g cm⁻³): 10.8
DOS at the Fermi energy (states/eV per atom): 0.8089
Energy of formation from the pure elements (eV per atom): -0.392
Space group: C2/c
Magnetic moment (μB per formula unit): 0.000

Unit cell a=8.9907 b=8.9907 c=6.4592 alpha=100.49 beta=100.49 gamma=41.61
With the nearest neighbours (Å) after each atom.
Positions (direct):
Dy1 0.1251 0.8749 0.7500  2 Tl 3.16-3.22, 4 Pb 3.19-3.45
Dy2 0.2170 0.4463 0.4048  4 Pb 3.17-3.52, 1 Tl 3.18, 2 Dy 3.55
Dy3 0.4463 0.2170 0.9048  4 Pb 3.17-3.52, 1 Tl 3.18, 2 Dy 3.55
Dy4 0.5537 0.7830 0.0952  4 Pb 3.17-3.52, 1 Tl 3.18, 2 Dy 3.55
Dy5 0.7830 0.5537 0.5952  4 Pb 3.17-3.52, 1 Tl 3.18, 2 Dy 3.55
Dy6 0.8749 0.1251 0.2500  2 Tl 3.16-3.22, 4 Pb 3.19-3.45
Tl1 0.3798 0.6202 0.2500  4 Dy 3.16-3.22
Tl2 0.6202 0.3798 0.7500  4 Dy 3.16-3.22
Pb1 0.0532 0.2744 0.0710  6 Dy 3.17-3.52, 2 Pb 3.52, 1 Tl 3.55
Pb2 0.2744 0.0532 0.5710  6 Dy 3.17-3.52, 2 Pb 3.52, 1 Tl 3.55
Pb3 0.7256 0.9468 0.4290  6 Dy 3.17-3.52, 2 Pb 3.52, 1 Tl 3.55
Pb4 0.9468 0.7256 0.9290  6 Dy 3.17-3.52, 2 Pb 3.52, 1 Tl 3.55



Material: Cd2InRh
Method: DFT, GGA-PBE
State: optimized geometry

Computed properties:
E_tot (eV per formula unit): -11.97
Mass density (g cm⁻³): 9.4
DOS at the Fermi energy (states/eV per atom): 0.4774
Energy of formation from the pure elements (eV per atom): -0.012
Space group: Cmmm
Magnetic moment (μB per formula unit): 0.000

Unit cell a=4.9718 b=4.9718 c=3.3511 alpha=90.00 beta=90.00 gamma=109.38
With the nearest neighbours (Å) after each atom.
Positions (direct):
Cd1 0.0000 0.5000 0.0000  2 Cd 2.87, 4 Rh 3.00, 4 In 3.00
Cd2 0.5000 0.0000 0.0000  2 Cd 2.87, 4 Rh 3.00, 4 In 3.00
In1 0.0000 0.0000 0.5000  2 Rh 2.87, 8 Cd 3.00
Rh1 0.5000 0.5000 0.5000  2 In 2.87, 8 Cd 3.00



Material: NaInPd
Method: DFT, GGA-PBE
State: optimized geometry

Computed properties:
E_tot (eV per formula unit): -10.00
Mass density (g cm⁻³): 6.1
DOS at the Fermi energy (states/eV per atom): 0.5186
Energy of formation from the pure elements (eV per atom): -0.251
Space group: I4mm
Magnetic moment (μB per formula unit): 0.000

Unit cell a=6.0048 b=6.0048 c=6.0048 alpha=146.34 beta=146.34 gamma=48.34
With the nearest neighbours (Å) after each atom.
Positions (direct):
Na1 0.0000 0.0000 0.0000  5 Pd 3.16-3.50, 5 In 3.21-3.35, 4 Na 3.48
In1 0.7075 0.7075 0.0000  4 Pd 2.75
Pd1 0.3192 0.3192 0.0000  4 In 2.75



What is the formula in the first record? Cd16In7Hg6



What is the DOS at the Fermi energy in the twelfth record? 0.5186 states/eV per atom



Look up the DOS at the Fermi energy of the fifth one. 0.6828 states/eV per atom